BaAlPt after structural relaxation. Source: OQMD, functional PBE.

Computed properties:
Space-group type   F-43m
Total moment   0.000 μB per cell
Calculated volume   28.09 A^3/atom
Electronic total energy   -3.913 eV/atom

Cell lengths 4.9214, 4.9214, 4.9214 Å; angles 60.00, 60.00, 60.00 degrees
Last column: nearest neighbours and their distance in Å.
Sites, in units of the cell vectors:
Al (0.0000, 0.0000, 0.0000)  4 Pt 3.01, 4 Ba 3.01
Ba (0.2500, 0.2500, 0.2500)  4 Al 3.01
Pt (0.7500, 0.7500, 0.7500)  4 Al 3.01